(1)
First-principles (PBE-GGA) data for an optimized crystal structure of K2Pd2Se, as listed in Alexandria.

a b c (Å): 6.820 6.820 5.236
angles (deg): 90.00 90.00 90.00
Atoms (fractional coordinates):
K: 0.173 0.673 0.500
K: 0.673 0.827 0.500
K: 0.827 0.327 0.500
K: 0.327 0.173 0.500
Se: 0.000 0.000 0.000
Se: 0.500 0.500 0.000
Pd: 0.347 0.847 0.000
Pd: 0.847 0.653 0.000
Pd: 0.653 0.153 0.000
Pd: 0.153 0.347 0.000

Total moment in μB/atom: 0.000
Fermi-level density of states in states/eV/cell: 0.0
Space group: P4/mbm, No. 127
ΔE_f (raw) in eV/atom: -0.305

(2)
First-principles (PBE-GGA) data for an optimized crystal structure of BeTeN2Cl, as listed in Alexandria.

a b c (Å): 3.583 3.583 7.873
angles (deg): 90.00 90.00 90.00
Each line ends with the local moment (μB).
Atoms (fractional coordinates):
Be: 0.500 0.500 0.500  0.00
N: 0.000 0.500 0.000  0.25
N: 0.500 0.000 0.000  0.25
Te: 0.000 0.000 0.500  0.00
Cl: 0.000 0.000 0.000  0.00

Total moment in μB/atom: 0.133
Fermi-level density of states in states/eV/cell: 2.6
Space group: P4/mmm, No. 123
Distance to the lowest polymorph of the same formula in meV per atom: 804
ΔE_f (raw) in eV/atom: 2.152